# 1
! Pm4NiRu3 | the Alexandria database | PBE | relaxed; values from VASP
! M_tot = 0.00 μB/f.u.
! E_form = -0.1867 eV per atom
! Fermi-level density of states = 9.33 states/eV/f.u.
&SYSTEM
  ibrav = 0, nat = 8, ntyp = 3
/
ATOMIC_SPECIES
Ni 58.69 Ni.upf
Ru 101.07 Ru.upf
Pm 145.00 Pm.upf
CELL_PARAMETERS angstrom
-0.4925 -1.2888 4.0301
4.1540 0.1387 0.5520
-0.7476 10.0136 3.1108
ATOMIC_POSITIONS crystal
Ni 0.5000 0.5000 0.0654
Ru 0.0000 0.5000 0.5552
Ru 0.0000 0.0000 0.4405
Ru 0.5000 0.0000 0.9419
Pm 0.5000 0.5000 0.3503
Pm 0.0000 0.5000 0.8573
Pm 0.0000 0.0000 0.1399
Pm 0.5000 0.0000 0.6495

# 2
! CoAg3N | the Alexandria database | PBE | relaxed; values from VASP
! M_tot = 1.91 μB/f.u.
! Raw formation energy = 10.3 eV/f.u.
! Fermi-level density of states = 6.38 states/eV/f.u.
&SYSTEM
  ibrav = 0, nat = 5, ntyp = 3
/
ATOMIC_SPECIES
Co 58.93 Co.upf
Ag 107.87 Ag.upf
N 14.01 N.upf
CELL_PARAMETERS angstrom
-3.7953 2.8219 -0.4965
-2.7149 -3.2782 2.1204
0.9160 1.9758 4.2274
ATOMIC_POSITIONS crystal
Co 0.0000 0.0000 0.0000
Ag 0.0000 0.5000 0.0000
Ag 0.0000 0.0000 0.5000
Ag 0.5000 0.0000 0.0000
N 0.5000 0.5000 0.5000

# 3
! Cs3Sr2F7 | the Alexandria database | PBE | relaxed; values from VASP
! M_tot = 0.26 μB/f.u.
! Raw formation energy = -39.6 eV/f.u.
! Fermi-level density of states = 0.00 states/eV/f.u.
&SYSTEM
  ibrav = 0, nat = 12, ntyp = 3
/
ATOMIC_SPECIES
Cs 132.91 Cs.upf
Sr 87.62 Sr.upf
F 19.00 F.upf
CELL_PARAMETERS angstrom
-0.5746 -2.9514 3.7614
4.7065 0.3173 0.9680
-4.2219 11.0358 4.9320
ATOMIC_POSITIONS crystal
Cs 0.3123 0.3123 0.6246
Cs 0.6877 0.6877 0.3754
Cs 0.5000 0.5000 0.0000
Sr 0.0983 0.0983 0.1966
Sr 0.9017 0.9017 0.8034
F 0.0000 0.0000 0.0000
F 0.9032 0.4032 0.8064
F 0.4032 0.9032 0.8064
F 0.0968 0.5968 0.1936
F 0.5968 0.0968 0.1936
F 0.1959 0.1959 0.3919
F 0.8041 0.8041 0.6081

# 4
! K2Na5Ag5 | the Alexandria database | PBE | relaxed; values from VASP
! M_tot = 0.00 μB/f.u.
! E_form = 0.0317 eV per atom
! Fermi-level density of states = 4.13 states/eV/f.u.
&SYSTEM
  ibrav = 0, nat = 12, ntyp = 3
/
ATOMIC_SPECIES
K 39.10 K.upf
Na 22.99 Na.upf
Ag 107.87 Ag.upf
CELL_PARAMETERS angstrom
5.0748 0.0000 0.0000
0.0000 5.9565 0.0000
0.0000 0.0000 11.2663
ATOMIC_POSITIONS crystal
K 0.0000 0.5000 0.0000
K 0.0000 0.0000 0.5000
Na 0.0000 0.5000 0.3349
Na 0.0000 0.0000 0.8107
Na 0.0000 0.0000 0.1893
Na 0.0000 0.5000 0.6651
Na 0.5000 0.0000 0.0000
Ag 0.5000 0.5000 0.5000
Ag 0.5000 0.7509 0.2710
Ag 0.5000 0.2491 0.7290
Ag 0.5000 0.2491 0.2710
Ag 0.5000 0.7509 0.7290